A:
Computed, not measured: a relaxed LiSb2IO crystal at the PBE level of DFT.

Cell lengths 4.452, 4.452, 7.712 Å; angles 90.00, 90.00, 90.00 degrees
Positions (direct):
I1 0.000 0.000 0.500
Sb1 0.000 0.500 0.000
Sb2 0.500 0.000 0.000
O1 0.000 0.000 0.000
Li1 0.500 0.500 0.500

space-group type	P4/mmm


B:
Computed, not measured: a relaxed LiSb2IO crystal at the PBE level of DFT.

Cell lengths 4.976, 4.976, 4.910 Å; angles 90.00, 90.00, 90.00 degrees
Positions (direct):
I1 0.000 0.000 0.500
Sb1 0.000 0.500 0.000
Sb2 0.500 0.000 0.000
O1 0.500 0.500 0.500
Li1 0.000 0.000 0.000

space-group type	P4/mmm


Computed relative energies in units of meV per atom: A 0; B 937


A:
Computed, not measured: a relaxed LiScI2O crystal at the PBE level of DFT.

Cell lengths 5.967, 5.967, 3.917 Å; angles 90.00, 90.00, 90.00 degrees
Positions (direct):
I1 0.000 0.500 0.000
I2 0.500 0.000 0.000
Sc1 0.000 0.000 0.000
O1 0.000 0.000 0.500
Li1 0.500 0.500 0.500

space-group type	P4/mmm


B:
Computed, not measured: a relaxed LiScI2O crystal at the PBE level of DFT.

Cell lengths 5.368, 5.368, 3.701 Å; angles 90.00, 90.00, 90.00 degrees
Positions (direct):
I1 0.000 0.500 0.000
I2 0.500 0.000 0.000
Sc1 0.500 0.500 0.500
O1 0.000 0.000 0.500
Li1 0.000 0.000 0.000

space-group type	P4/mmm


Computed relative energies in units of meV per atom: A 0; B 1007


A:
Computed, not measured: a relaxed LiSnIO2 crystal at the PBE level of DFT.

Cell lengths 4.012, 4.012, 6.450 Å; angles 90.00, 90.00, 90.00 degrees
Positions (direct):
I1 0.000 0.000 0.500
Sn1 0.000 0.000 0.000
O1 0.000 0.500 0.000
O2 0.500 0.000 0.000
Li1 0.500 0.500 0.500

space-group type	P4/mmm


B:
Computed, not measured: a relaxed LiSnIO2 crystal at the PBE level of DFT.

Cell lengths 4.308, 4.308, 4.967 Å; angles 90.00, 90.00, 90.00 degrees
Each line ends with the local moment (μB).
Positions (direct):
I1 0.000 0.000 0.500  0.15
Sn1 0.500 0.500 0.500  0.00
O1 0.000 0.500 0.000  0.17
O2 0.500 0.000 0.000  0.17
Li1 0.000 0.000 0.000  0.00

space-group type	P4/mmm


Computed relative energies in units of meV per atom: A 0; B 1008


A:
Computed, not measured: a relaxed SrLiI2O crystal at the PBE level of DFT.

Cell lengths 5.666, 5.666, 4.092 Å; angles 90.00, 90.00, 90.00 degrees
Each line ends with the local moment (μB).
Positions (direct):
I1 0.000 0.500 0.000  0.05
I2 0.500 0.000 0.000  0.05
Sr1 0.500 0.500 0.500  -0.01
O1 0.000 0.000 0.500  0.72
Li1 0.000 0.000 0.000  -0.01

space-group type	P4/mmm


B:
Computed, not measured: a relaxed SrLiI2O crystal at the PBE level of DFT.

Cell lengths 6.489, 6.489, 4.569 Å; angles 90.00, 90.00, 90.00 degrees
Each line ends with the local moment (μB).
Positions (direct):
I1 0.000 0.500 0.000  0.04
I2 0.500 0.000 0.000  0.04
Sr1 0.000 0.000 0.000  0.02
O1 0.000 0.000 0.500  0.70
Li1 0.500 0.500 0.500  0.00

space-group type	P4/mmm


Computed relative energies in units of meV per atom: A 0; B 52


A:
Computed, not measured: a relaxed SrLiIO2 crystal at the PBE level of DFT.

Cell lengths 4.456, 4.456, 5.003 Å; angles 90.00, 90.00, 90.00 degrees
Each line ends with the local moment (μB).
Positions (direct):
I1 0.000 0.000 0.500  0.12
Sr1 0.500 0.500 0.500  -0.01
O1 0.000 0.500 0.000  0.78
O2 0.500 0.000 0.000  0.78
Li1 0.000 0.000 0.000  -0.01

space-group type	P4/mmm


B:
Computed, not measured: a relaxed SrLiIO2 crystal at the PBE level of DFT.

Cell lengths 4.606, 4.606, 6.982 Å; angles 90.00, 90.00, 90.00 degrees
Each line ends with the local moment (μB).
Positions (direct):
I1 0.000 0.000 0.500  0.00
Sr1 0.000 0.000 0.000  0.04
O1 0.000 0.500 0.000  0.80
O2 0.500 0.000 0.000  0.80
Li1 0.500 0.500 0.500  0.00

space-group type	P4/mmm


Computed relative energies in units of meV per atom: A 60; B 0


A:
Computed, not measured: a relaxed LiTcIO2 crystal at the PBE level of DFT.

Cell lengths 3.835, 3.835, 6.107 Å; angles 90.00, 90.00, 90.00 degrees
Positions (direct):
I1 0.000 0.000 0.500
Tc1 0.000 0.000 0.000
O1 0.000 0.500 0.000
O2 0.500 0.000 0.000
Li1 0.500 0.500 0.500

space-group type	P4/mmm


B:
Computed, not measured: a relaxed LiTcIO2 crystal at the PBE level of DFT.

Cell lengths 3.965, 3.965, 5.047 Å; angles 90.00, 90.00, 90.00 degrees
Each line ends with the local moment (μB).
Positions (direct):
I1 0.000 0.000 0.500  -0.01
Tc1 0.500 0.500 0.500  3.11
O1 0.000 0.500 0.000  -0.68
O2 0.500 0.000 0.000  -0.68
Li1 0.000 0.000 0.000  0.02

space-group type	P4/mmm


Computed relative energies in units of meV per atom: A 0; B 1573